Compound: Nb2TlAs
Source: Alexandria via LeMat-Bulk
Functional: GGA-PBE
Structure: optimized geometry Values from VASP.

The structure in Quantum ESPRESSO input format:
```
&SYSTEM
  ibrav = 0, nat = 4, ntyp = 3
/
ATOMIC_SPECIES
Tl 204.38 Tl.upf
Nb 92.91 Nb.upf
As 74.92 As.upf
ATOMIC_POSITIONS angstrom
Tl -4.352 3.525 -1.457
Nb -6.528 5.287 -2.185
As 0.000 0.000 0.000
Nb -2.176 1.762 -0.728
CELL_PARAMETERS angstrom
-3.113 3.162 1.624
-1.249 3.680 -2.686
-4.342 0.207 -1.852
```

Results
* energy relative to the elements: 229 meV per atom
* distance to the lowest polymorph of the same formula: 0.000 kcal/mol of atoms
* total moment: 0.00 μB/f.u.
* N(E_F): 3.29 states/eV/f.u.